Record 1
Here is crystalline SiSbMo at its relaxed geometry from Alexandria via LeMat-Bulk. Energies are from PBE.

Computed properties:
Polymorph energy (0 for the lowest one)   0.59 eV/f.u.
Uncorrected formation energy   0.05 eV/atom
D(E_F)   0.393 states/eV per atom
Total magnetic moment   0.0 μB per formula unit

Cell: 5.166 5.166 5.166 Å, 141.92 141.92 54.95°
Atoms (fractional coordinates):
Si: 0.000 0.000 0.000
Sb: 0.307 0.307 0.000
Mo: 0.618 0.618 0.000

Record 2
Here is crystalline SiSbMo2 at its relaxed geometry from Alexandria via LeMat-Bulk. Energies are from PBE.

Computed properties:
Polymorph energy (0 for the lowest one)   0.00 eV/f.u.
Uncorrected formation energy   -0.06 eV/atom
D(E_F)   0.544 states/eV per atom
Total magnetic moment   0.0 μB per formula unit

Cell: 3.322 3.322 6.034 Å, 90.00 90.00 90.00°
Atoms (fractional coordinates):
Si: 0.000 0.000 0.000
Sb: 0.500 0.500 0.688
Mo: 0.000 0.000 0.451
Mo: 0.500 0.500 0.158

Record 3
Here is crystalline SiSbMo3 at its relaxed geometry from Alexandria via LeMat-Bulk. Energies are from PBE.

Computed properties:
Polymorph energy (0 for the lowest one)   6.64 eV/f.u.
Uncorrected formation energy   2.17 eV/atom
D(E_F)   1.045 states/eV per atom
Total magnetic moment   0.0 μB per formula unit

Cell: 4.868 4.868 4.868 Å, 90.00 90.00 90.00°
Atoms (fractional coordinates):
Si: 0.000 0.000 0.000
Sb: 0.500 0.500 0.500
Mo: 0.000 0.500 0.500
Mo: 0.500 0.000 0.500
Mo: 0.500 0.500 0.000

Record 4
Here is crystalline SiSbMo2 at its relaxed geometry from Alexandria via LeMat-Bulk. Energies are from PBE.

Computed properties:
Polymorph energy (0 for the lowest one)   1.08 eV/f.u.
Uncorrected formation energy   0.21 eV/atom
D(E_F)   0.970 states/eV per atom
Total magnetic moment   0.0 μB per formula unit

Cell: 4.503 4.503 5.287 Å, 102.04 102.04 40.62°
Atoms (fractional coordinates):
Si: 0.000 0.000 0.000
Sb: 0.500 0.500 0.500
Mo: 0.264 0.264 0.788
Mo: 0.736 0.736 0.212

Record 5
Here is crystalline SiSbMo at its relaxed geometry from Alexandria via LeMat-Bulk. Energies are from PBE.

Computed properties:
Polymorph energy (0 for the lowest one)   2.45 eV/f.u.
Uncorrected formation energy   0.67 eV/atom
D(E_F)   0.862 states/eV per atom
Total magnetic moment   0.0 μB per formula unit

Cell: 4.362 4.362 4.362 Å, 60.00 60.00 60.00°
Atoms (fractional coordinates):
Si: 0.000 0.000 0.000
Sb: 0.750 0.750 0.750
Mo: 0.250 0.250 0.250

Record 6
Here is crystalline SiSbMo2 at its relaxed geometry from Alexandria via LeMat-Bulk. Energies are from PBE.

Computed properties:
Polymorph energy (0 for the lowest one)   0.98 eV/f.u.
Uncorrected formation energy   0.18 eV/atom
D(E_F)   0.847 states/eV per atom
Total magnetic moment   0.0 μB per formula unit

Cell: 3.104 4.799 4.512 Å, 90.00 90.00 90.00°
Atoms (fractional coordinates):
Si: 0.000 0.000 0.000
Sb: 0.500 0.500 0.209
Mo: 0.000 0.500 0.714
Mo: 0.500 0.000 0.518

Record 7
Here is crystalline SiSb2TeMo at its relaxed geometry from Alexandria via LeMat-Bulk. Energies are from PBE.

Computed properties:
Polymorph energy (0 for the lowest one)   0.00 eV/f.u.
Uncorrected formation energy   0.86 eV/atom
D(E_F)   0.877 states/eV per atom
Total magnetic moment   1.2 μB per formula unit

Cell: 5.265 5.265 5.197 Å, 90.00 90.00 90.00°
Atoms (fractional coordinates):
Si: 0.000 0.000 0.000
Sb: 0.000 0.500 0.500
Sb: 0.500 0.000 0.500
Te: 0.500 0.500 0.000
Mo: 0.500 0.500 0.500

Record 8
Here is crystalline SiSb2TeMo at its relaxed geometry from Alexandria via LeMat-Bulk. Energies are from PBE.

Computed properties:
Polymorph energy (0 for the lowest one)   1.36 eV/f.u.
Uncorrected formation energy   1.13 eV/atom
D(E_F)   0.560 states/eV per atom
Total magnetic moment   3.1 μB per formula unit

Cell: 5.127 5.127 5.175 Å, 90.00 90.00 90.00°
Atoms (fractional coordinates):
Si: 0.000 0.000 0.000
Sb: 0.000 0.500 0.000
Sb: 0.500 0.000 0.000
Te: 0.000 0.000 0.500
Mo: 0.500 0.500 0.500

Record 9
Here is crystalline V2SiSbMo at its relaxed geometry from Alexandria via LeMat-Bulk. Energies are from PBE.

Computed properties:
Uncorrected formation energy   1.19 eV/atom
D(E_F)   1.589 states/eV per atom
Total magnetic moment   0.1 μB per formula unit

Cell: 4.385 4.385 5.065 Å, 90.00 90.00 90.00°
Atoms (fractional coordinates):
V: 0.000 0.500 0.000
V: 0.500 0.000 0.000
Si: 0.000 0.000 0.000
Sb: 0.000 0.000 0.500
Mo: 0.500 0.500 0.500

Record 10
Here is crystalline SnSb2Mo at its relaxed geometry from Alexandria via LeMat-Bulk. Energies are from PBE.

Computed properties:
Uncorrected formation energy   0.56 eV/atom
D(E_F)   0.496 states/eV per atom
Total magnetic moment   2.0 μB per formula unit

Cell: 7.921 7.921 7.921 Å, 131.48 131.48 71.04°
Atoms (fractional coordinates):
Sn: 0.000 0.000 0.000
Sn: 0.750 0.250 0.500
Sb: 0.165 0.625 0.040
Sb: 0.375 0.415 0.540
Sb: 0.585 0.125 0.960
Sb: 0.875 0.835 0.460
Mo: 0.250 0.750 0.500
Mo: 0.500 0.500 0.000

Record 11
Here is crystalline SnSbMo2 at its relaxed geometry from Alexandria via LeMat-Bulk. Energies are from PBE.

Computed properties:
Polymorph energy (0 for the lowest one)   0.00 eV/f.u.
Uncorrected formation energy   0.34 eV/atom
D(E_F)   2.137 states/eV per atom
Total magnetic moment   0.0 μB per formula unit

Cell: 4.701 4.701 4.701 Å, 60.00 60.00 60.00°
Atoms (fractional coordinates):
Sn: 0.000 0.000 0.000
Sb: 0.500 0.500 0.500
Mo: 0.250 0.250 0.250
Mo: 0.750 0.750 0.750

Record 12
Here is crystalline SnSbMo3 at its relaxed geometry from Alexandria via LeMat-Bulk. Energies are from PBE.

Computed properties:
Polymorph energy (0 for the lowest one)   0.00 eV/f.u.
Uncorrected formation energy   1.75 eV/atom
D(E_F)   1.001 states/eV per atom
Total magnetic moment   0.0 μB per formula unit

Cell: 4.901 4.901 4.901 Å, 90.00 90.00 90.00°
Atoms (fractional coordinates):
Sn: 0.000 0.000 0.000
Sb: 0.500 0.500 0.500
Mo: 0.000 0.500 0.500
Mo: 0.500 0.000 0.500
Mo: 0.500 0.500 0.000

Record 13
Here is crystalline SnSb3Mo at its relaxed geometry from Alexandria via LeMat-Bulk. Energies are from PBE.

Computed properties:
Polymorph energy (0 for the lowest one)   4.88 eV/f.u.
Uncorrected formation energy   1.49 eV/atom
D(E_F)   0.833 states/eV per atom
Total magnetic moment   3.6 μB per formula unit

Cell: 5.562 5.562 5.562 Å, 90.00 90.00 90.00°
Atoms (fractional coordinates):
Sn: 0.000 0.000 0.000
Sb: 0.000 0.000 0.500
Sb: 0.000 0.500 0.000
Sb: 0.500 0.000 0.000
Mo: 0.500 0.500 0.500

Record 14
Here is crystalline Sn2SbMo at its relaxed geometry from Alexandria via LeMat-Bulk. Energies are from PBE.

Computed properties:
Uncorrected formation energy   0.80 eV/atom
D(E_F)   0.703 states/eV per atom
Total magnetic moment   1.7 μB per formula unit

Cell: 7.947 7.947 7.947 Å, 131.84 131.84 70.48°
Atoms (fractional coordinates):
Sn: 0.094 0.625 0.969
Sn: 0.375 0.344 0.469
Sn: 0.656 0.125 0.031
Sn: 0.875 0.906 0.531
Sb: 0.250 0.750 0.500
Sb: 0.500 0.500 0.000
Mo: 0.000 0.000 0.000
Mo: 0.750 0.250 0.500

Record 15
Here is crystalline SnSb2Mo at its relaxed geometry from Alexandria via LeMat-Bulk. Energies are from PBE.

Computed properties:
Uncorrected formation energy   0.11 eV/atom
D(E_F)   0.764 states/eV per atom
Total magnetic moment   0.0 μB per formula unit

Cell: 3.386 3.386 7.950 Å, 90.00 90.00 90.00°
Atoms (fractional coordinates):
Sn: 0.000 0.000 0.000
Sb: 0.500 0.500 0.300
Sb: 0.500 0.500 0.700
Mo: 0.000 0.000 0.500

Record 16
Here is crystalline SnSb3Mo at its relaxed geometry from Alexandria via LeMat-Bulk. Energies are from PBE.

Computed properties:
Polymorph energy (0 for the lowest one)   0.00 eV/f.u.
Uncorrected formation energy   0.51 eV/atom
D(E_F)   1.149 states/eV per atom
Total magnetic moment   0.8 μB per formula unit

Cell: 5.273 5.273 5.273 Å, 90.00 90.00 90.00°
Atoms (fractional coordinates):
Sn: 0.000 0.000 0.000
Sb: 0.000 0.500 0.500
Sb: 0.500 0.000 0.500
Sb: 0.500 0.500 0.000
Mo: 0.500 0.500 0.500

Record 17
Here is crystalline SnSbMo2 at its relaxed geometry from Alexandria via LeMat-Bulk. Energies are from PBE.

Computed properties:
Polymorph energy (0 for the lowest one)   2.33 eV/f.u.
Uncorrected formation energy   0.92 eV/atom
D(E_F)   0.967 states/eV per atom
Total magnetic moment   2.2 μB per formula unit

Cell: 6.112 6.112 6.112 Å, 103.14 103.14 123.06°
Atoms (fractional coordinates):
Sn: 0.000 0.000 0.000
Sn: 0.750 0.250 0.500
Sb: 0.250 0.750 0.500
Sb: 0.500 0.500 0.000
Mo: 0.136 0.625 0.011
Mo: 0.375 0.386 0.511
Mo: 0.614 0.125 0.989
Mo: 0.875 0.864 0.489

Record 18
Here is crystalline SnSb2Mo at its relaxed geometry from Alexandria via LeMat-Bulk. Energies are from PBE.

Computed properties:
Uncorrected formation energy   0.71 eV/atom
D(E_F)   1.132 states/eV per atom
Total magnetic moment   0.0 μB per formula unit

Cell: 12.197 12.197 12.197 Å, 14.51 14.51 14.51°
Atoms (fractional coordinates):
Sn: 0.000 0.000 0.000
Sb: 0.422 0.422 0.422
Sb: 0.578 0.578 0.578
Mo: 0.500 0.500 0.500

Record 19
Here is crystalline SnSb2TeMo at its relaxed geometry from Alexandria via LeMat-Bulk. Energies are from PBE.

Computed properties:
Polymorph energy (0 for the lowest one)   0.00 eV/f.u.
Uncorrected formation energy   0.50 eV/atom
D(E_F)   1.169 states/eV per atom
Total magnetic moment   0.6 μB per formula unit

Cell: 5.305 5.305 5.265 Å, 90.00 90.00 90.00°
Atoms (fractional coordinates):
Sn: 0.000 0.000 0.000
Sb: 0.000 0.500 0.500
Sb: 0.500 0.000 0.500
Te: 0.500 0.500 0.000
Mo: 0.500 0.500 0.500

Record 20
Here is crystalline SnSb2TeMo at its relaxed geometry from Alexandria via LeMat-Bulk. Energies are from PBE.

Computed properties:
Polymorph energy (0 for the lowest one)   4.42 eV/f.u.
Uncorrected formation energy   1.39 eV/atom
D(E_F)   0.931 states/eV per atom
Total magnetic moment   3.5 μB per formula unit

Cell: 5.587 5.587 5.636 Å, 90.00 90.00 90.00°
Atoms (fractional coordinates):
Sn: 0.000 0.000 0.000
Sb: 0.000 0.500 0.000
Sb: 0.500 0.000 0.000
Te: 0.000 0.000 0.500
Mo: 0.500 0.500 0.500